Here is MnAlMoIrF after structural relaxation from Alexandria via LeMat-Bulk. Energies are from GGA+U.

abc: 2.9392 4.7262 6.6178
angles: 78.46 78.90 85.68
Closest atoms and distances in Å follow each position.
Atoms (fractional coordinates):
1 Mn 0.0000 0.0000 0.0000  4 Ir 2.69-2.88, 1 F 2.81, 2 Mn 2.94
2 Al 0.1369 0.6206 0.6692  1 F 1.84
3 Mo 0.8644 0.3911 0.3528  1 F 2.18
4 Ir 0.5034 0.5013 0.9949  2 Al 2.54-2.56, 2 Mn 2.69, 2 Mo 2.71-2.72
5 F 0.0582 0.0095 0.5697  1 Al 1.84

Properties
V, Å³/atom: 17.66
Fermi-level density of states, states/eV/cell: 1.725
Crystal system: triclinic
Polymorph energy (0 for the lowest one), kJ/mol of atoms: 8.5
Mass density, Mg/m³: 7.32
Symmetry: No. 1